First-principles (GGA-PBE) data for an optimized crystal structure of AcNdSc, as listed in the Alexandria database.

- final energy (eV per formula unit) = -14.909
- total moment (μB/f.u.) = 0.0
- calculated density (g/cm3) = 6.68
- offset from the most stable computed form (meV per atom) = 0
- energy relative to the elements (kJ/mol of formula units) = 28.8

Unit cell a=3.750 b=3.750 c=14.702 alpha=90.00 beta=90.00 gamma=90.00
Space group I4mm (No. 107)
One atom of each set of equivalent atoms:
Ac: 0.000 0.000 0.000 [2 per cell]
Nd: 0.000 0.000 0.686 [2 per cell]
Sc: 0.000 0.000 0.335 [2 per cell]

---

First-principles (GGA-PBE) data for an optimized crystal structure of HfFeSi3, as listed in the Alexandria database.

- final energy (eV per formula unit) = -28.338
- total moment (μB/f.u.) = 3.6
- calculated density (g/cm3) = 4.27
- formation energy from raw total energies (eV/atom) = 1.27

Unit cell a=4.985 b=4.985 c=4.985 alpha=90.00 beta=90.00 gamma=90.00
Space group Pm-3m (No. 221)
One atom of each set of equivalent atoms:
Hf: 0.000 0.000 0.000 [1 per cell]
Fe: 0.500 0.500 0.500 [1 per cell]
Si: 0.000 0.000 0.500 [3 per cell]

---

First-principles (GGA-PBE) data for an optimized crystal structure of Cu2NiS4, as listed in the Alexandria database.

- final energy (eV per formula unit) = -28.123
- total moment (μB/f.u.) = 0.8
- calculated density (g/cm3) = 4.37
- offset from the most stable computed form (meV per atom) = 493
- formation energy from raw total energies (eV/atom) = 0.34

Unit cell a=4.655 b=4.655 c=11.011 alpha=90.00 beta=90.00 gamma=90.00
Space group I4/mmm (No. 139)
One atom of each set of equivalent atoms:
Cu: 0.000 0.000 0.107 [4 per cell]
Ni: 0.000 0.000 0.500 [2 per cell]
S: 0.000 0.000 0.302 [4 per cell]
S: 0.000 0.500 0.000 [4 per cell]

---

First-principles (GGA-PBE) data for an optimized crystal structure of Sr2IrSe, as listed in the Alexandria database.

- final energy (eV per formula unit) = -18.305
- total moment (μB/f.u.) = 0.7
- calculated density (g/cm3) = 7.14
- formation energy from raw total energies (eV/atom) = -0.65

Unit cell a=5.286 b=5.286 c=3.713 alpha=90.00 beta=90.00 gamma=90.00
Space group P4/mmm (No. 123)
One atom of each set of equivalent atoms:
Sr: 0.000 0.500 0.000 [2 per cell]
Ir: 0.000 0.000 0.500 [1 per cell]
Se: 0.500 0.500 0.500 [1 per cell]